# 1
SnAs2Cl8, relaxed, DFT GGA-PBE; raw total energy = -3.26 eV/atom; energy relative to the elements, uncorrected = -0.70 eV/atom; V = 39.89 Å³ per atom
1.0
-0.429 4.756 6.949
-7.214 1.925 -1.868
-5.763 -4.413 2.560
Cl As Sn
8 2 1
direct
0.298 0.080 0.080
0.826 0.933 0.365
0.588 0.307 0.307
0.826 0.365 0.933
0.174 0.067 0.635
0.702 0.920 0.920
0.412 0.693 0.693
0.174 0.635 0.067
0.359 0.857 0.857
0.641 0.143 0.143
0.000 0.000 0.000



# 2
Li3AlPd, relaxed, DFT GGA-PBE; raw total energy = -2.41 eV/atom; polymorph energy (0 for the lowest one) = 787 meV per atom; V = 20.52 Å³ per atom; calculated formation energy = 0.5267 eV per atom
1.0
4.681 0.000 0.000
0.000 4.681 0.000
0.000 0.000 4.681
Li Al Pd
3 1 1
direct
0.000 0.000 0.500
0.000 0.500 0.000
0.500 0.000 0.000
0.000 0.000 0.000
0.500 0.500 0.500



# 3
CaHo5Tl4, relaxed, DFT GGA-PBE; raw total energy = -3.41 eV/atom; V = 33.44 Å³ per atom; calculated formation energy = 0.0305 eV per atom
1.0
-6.248 5.601 -1.843
-1.895 -4.068 -5.941
-6.665 -5.497 5.889
Tl Ho Ca
8 10 2
direct
0.460 0.211 0.500
0.004 0.500 0.263
0.540 0.711 0.000
0.996 0.000 0.237
0.004 0.500 0.737
0.996 0.000 0.763
0.460 0.789 0.500
0.540 0.289 0.000
0.287 0.754 0.797
0.713 0.746 0.297
0.713 0.254 0.703
0.287 0.246 0.203
0.713 0.254 0.297
0.140 0.000 0.500
0.860 0.500 0.000
0.287 0.246 0.797
0.713 0.746 0.703
0.287 0.754 0.203
0.208 0.500 0.500
0.792 0.000 0.000



# 4
HoHfI, relaxed, DFT GGA-PBE; raw total energy = -5.50 eV/atom; energy relative to the elements, uncorrected = -0.14 eV/atom; V = 28.22 Å³ per atom
1.0
-2.977 0.051 -4.871
-1.011 -2.870 -4.830
-14.064 -9.663 -14.203
Hf I Ho
2 2 2
direct
0.364 0.364 0.081
0.390 0.390 0.227
0.264 0.264 0.519
0.490 0.490 0.789
0.706 0.706 0.429
0.047 0.047 0.879



# 5
NdBi2AuO4, relaxed, DFT GGA-PBE; raw total energy = -6.11 eV/atom; energy relative to the elements, uncorrected = -1.66 eV/atom; V = 18.06 Å³ per atom
1.0
-3.238 2.280 0.094
-1.982 -2.891 1.847
2.630 3.399 8.142
Bi Nd Au O
2 1 1 4
direct
0.500 0.500 0.281
0.500 0.500 0.719
0.000 0.000 0.000
0.000 0.000 0.500
0.000 0.500 0.840
0.500 0.000 0.160
0.000 0.500 0.160
0.500 0.000 0.840



# 6
NbGaFe2Br, relaxed, DFT GGA-PBE; raw total energy = -5.22 eV/atom; energy relative to the elements, uncorrected = 1.12 eV/atom; V = 23.10 Å³ per atom
1.0
-0.590 4.426 -1.599
-4.722 0.098 2.014
1.767 1.702 4.059
Br Ga Fe Nb
1 1 2 1
direct
0.000 0.500 0.000
0.500 0.500 0.500
0.000 0.000 0.500
0.500 0.000 0.000
0.000 0.000 0.000



# 7
VMoOsPt2, relaxed, DFT GGA-PBE; raw total energy = -7.01 eV/atom; V = 21.55 Å³ per atom; calculated formation energy = 1.6451 eV per atom
1.0
-3.434 -2.116 -2.667
0.389 -3.829 2.538
-3.380 1.665 3.030
Pt V Os Mo
2 1 1 1
direct
0.500 0.000 0.000
0.000 0.000 0.500
0.500 0.500 0.500
0.000 0.000 0.000
0.000 0.500 0.000



# 8
MnFeSn2Rh, relaxed, DFT GGA-PBE; raw total energy = -5.96 eV/atom; V = 19.93 Å³ per atom; calculated formation energy = 0.6330 eV per atom
1.0
4.763 0.000 0.000
0.000 4.394 0.000
0.000 0.000 4.763
Sn Mn Rh Fe
2 1 1 1
direct
0.000 0.000 0.500
0.500 0.000 0.000
0.000 0.500 0.000
0.500 0.500 0.500
0.000 0.000 0.000



# 9
ZrSiMo2, relaxed, DFT GGA-PBE; raw total energy = -8.79 eV/atom; energy relative to the elements, uncorrected = 0.11 eV/atom; V = 17.59 Å³ per atom
1.0
7.796 -0.432 -0.253
7.287 2.802 -0.253
7.287 1.145 2.570
Mo Zr Si
2 1 1
direct
0.986 0.986 0.986
0.514 0.514 0.514
0.750 0.750 0.750
0.250 0.250 0.250



# 10
La2PmOs, relaxed, DFT GGA-PBE; raw total energy = -6.21 eV/atom; polymorph energy (0 for the lowest one) = 390 meV per atom; V = 36.08 Å³ per atom; calculated formation energy = 0.2495 eV per atom
1.0
3.965 0.000 0.000
1.983 3.434 0.000
1.983 1.145 10.596
La Pm Os
2 1 1
direct
0.885 0.885 0.345
0.115 0.115 0.655
0.000 0.000 0.000
0.500 0.500 0.500



# 11
PaHgGeO6, relaxed, DFT GGA-PBE; raw total energy = -6.66 eV/atom; energy relative to the elements, uncorrected = -1.75 eV/atom; V = 13.83 Å³ per atom
1.0
5.493 0.000 0.000
-2.747 4.757 0.000
0.000 0.000 9.523
O Pa Ge Hg
12 2 2 2
direct
0.379 0.346 0.361
0.346 0.967 0.639
0.621 0.967 0.861
0.033 0.379 0.639
0.654 0.621 0.139
0.621 0.654 0.639
0.033 0.654 0.861
0.967 0.346 0.139
0.379 0.033 0.139
0.654 0.033 0.361
0.346 0.379 0.861
0.967 0.621 0.361
0.667 0.333 0.750
0.333 0.667 0.250
0.333 0.667 0.750
0.667 0.333 0.250
0.000 0.000 0.000
0.000 0.000 0.500



# 12
TlGaHI2, relaxed, DFT GGA-PBE; raw total energy = -2.61 eV/atom; V = 28.74 Å³ per atom
1.0
6.083 0.000 0.000
0.000 6.083 0.000
0.000 0.000 3.883
Ga I H Tl
1 2 1 1
direct
0.000 0.000 0.000
0.500 0.000 0.000
0.000 0.500 0.000
0.000 0.000 0.500
0.500 0.500 0.500



# 13
PrPaHgGe, relaxed, DFT GGA-PBE; raw total energy = -4.98 eV/atom; V = 25.70 Å³ per atom; calculated formation energy = -0.1849 eV per atom
1.0
5.258 0.000 0.000
2.629 4.554 0.000
2.629 1.518 4.293
Hg Pa Pr Ge
1 1 1 1
direct
0.750 0.750 0.750
0.000 0.000 0.000
0.500 0.500 0.500
0.250 0.250 0.250



# 14
KTe3Pb3, relaxed, DFT GGA-PBE; raw total energy = -3.45 eV/atom; energy relative to the elements, uncorrected = -0.36 eV/atom; V = 39.67 Å³ per atom
1.0
9.711 0.000 0.000
4.855 8.410 0.000
4.855 2.803 6.801
Pb Te K
6 6 2
direct
0.746 0.142 0.685
0.858 0.574 0.315
0.254 0.858 0.315
0.426 0.746 0.685
0.142 0.426 0.685
0.574 0.254 0.315
0.218 0.580 0.245
0.956 0.218 0.245
0.580 0.956 0.245
0.420 0.044 0.755
0.044 0.782 0.755
0.782 0.420 0.755
0.333 0.333 0.002
0.667 0.667 0.998



# 15
Li2PmPt, relaxed, DFT GGA-PBE; raw total energy = -4.02 eV/atom; polymorph energy (0 for the lowest one) = 251 meV per atom; V = 17.68 Å³ per atom; calculated formation energy = -0.3618 eV per atom
1.0
4.642 0.000 0.000
2.321 4.020 0.000
2.321 1.340 3.790
Pt Li Pm
1 2 1
direct
0.000 0.000 0.000
0.750 0.750 0.750
0.250 0.250 0.250
0.500 0.500 0.500



# 16
SrLaAl3O7, relaxed, DFT GGA-PBE; raw total energy = -7.55 eV/atom; energy relative to the elements, uncorrected = -3.18 eV/atom; V = 13.91 Å³ per atom
1.0
7.957 -0.001 0.000
-0.024 7.957 0.000
0.000 0.000 5.273
O Al La Sr
14 6 2 2
direct
0.162 0.591 0.809
0.666 0.917 0.185
0.591 0.162 0.809
0.867 0.867 0.705
0.500 0.500 0.838
0.000 0.000 0.185
0.349 0.651 0.294
0.409 0.838 0.809
0.838 0.409 0.809
0.334 0.083 0.185
0.917 0.666 0.185
0.651 0.349 0.294
0.133 0.133 0.705
0.083 0.334 0.185
0.857 0.857 0.038
0.500 0.000 0.000
0.143 0.143 0.038
0.000 0.500 0.000
0.356 0.644 0.963
0.644 0.356 0.963
0.836 0.164 0.510
0.164 0.836 0.510
0.339 0.339 0.490
0.661 0.661 0.490



# 17
Dy2HCl, relaxed, DFT GGA-PBE; raw total energy = -4.44 eV/atom; V = 19.29 Å³ per atom
1.0
3.566 0.000 0.000
1.783 3.088 0.000
1.783 1.029 7.004
H Dy Cl
1 2 1
direct
0.000 0.000 0.000
0.270 0.270 0.190
0.730 0.730 0.810
0.500 0.500 0.500



# 18
LaTe2Mo, relaxed, DFT GGA-PBE; raw total energy = -5.61 eV/atom; energy relative to the elements, uncorrected = -0.10 eV/atom; polymorph energy (0 for the lowest one) = 416 meV per atom; V = 34.01 Å³ per atom
1.0
5.864 0.000 0.000
0.000 5.864 0.000
2.932 2.932 7.912
Te Mo La
4 2 2
direct
0.875 0.794 0.750
0.206 0.625 0.250
0.544 0.125 0.250
0.375 0.456 0.750
0.250 0.750 0.500
0.500 0.500 0.000
0.000 0.000 0.000
0.750 0.250 0.500



# 19
CdAgBi2Se, relaxed, DFT GGA-PBE; raw total energy = -2.51 eV/atom; energy relative to the elements, uncorrected = 0.49 eV/atom; V = 31.63 Å³ per atom
1.0
5.637 0.000 0.000
0.000 4.978 0.000
0.000 0.000 5.637
Cd Bi Se Ag
1 2 1 1
direct
0.500 0.500 0.500
0.500 0.000 0.000
0.000 0.000 0.500
0.000 0.500 0.000
0.000 0.000 0.000



# 20
SrHoMgPb, relaxed, DFT GGA-PBE; raw total energy = -3.12 eV/atom; V = 30.46 Å³ per atom; calculated formation energy = -0.2306 eV per atom
1.0
-3.627 -0.892 4.125
1.534 -2.944 4.466
0.685 2.538 4.905
Sr Mg Pb Ho
1 1 1 1
direct
0.750 0.750 0.750
0.000 0.000 0.000
0.500 0.500 0.500
0.250 0.250 0.250



# 21
Nd3Tl, relaxed, DFT GGA-PBE; raw total energy = -4.35 eV/atom; polymorph energy (0 for the lowest one) = 17 meV per atom; V = 32.15 Å³ per atom; calculated formation energy = -0.1871 eV per atom
1.0
-2.951 -0.580 -2.091
-1.786 -4.509 3.771
-0.581 6.319 2.276
Nd Tl
3 1
direct
0.273 0.614 0.545
0.727 0.069 0.455
0.500 0.471 0.000
0.000 0.012 0.000



# 22
Fe2AgAs, relaxed, DFT GGA-PBE; raw total energy = -5.85 eV/atom; V = 14.80 Å³ per atom; calculated formation energy = 0.2576 eV per atom
1.0
-3.126 -2.243 -1.563
0.412 -2.025 2.082
-3.127 2.339 2.897
Fe As Ag
2 1 1
direct
0.000 0.125 0.964
0.500 0.125 0.240
0.500 0.625 0.840
0.000 0.625 0.456



# 23
HoSn2HgSe4, relaxed, DFT GGA-PBE; raw total energy = -4.06 eV/atom; energy relative to the elements, uncorrected = -0.71 eV/atom; V = 27.18 Å³ per atom
1.0
4.179 0.000 0.000
0.000 7.338 -0.104
0.000 2.620 7.053
Se Hg Sn Ho
4 1 2 1
direct
0.500 0.742 0.272
0.000 0.746 0.734
0.000 0.254 0.266
0.500 0.258 0.728
0.500 0.500 0.000
0.000 0.000 0.000
0.500 0.000 0.500
0.000 0.500 0.500



# 24
CdW3, relaxed, DFT GGA-PBE; raw total energy = -9.35 eV/atom; polymorph energy (0 for the lowest one) = 284 meV per atom; V = 16.75 Å³ per atom; calculated formation energy = 0.5981 eV per atom
1.0
-2.023 -3.042 1.773
0.082 -2.085 -3.484
3.521 -1.700 1.100
W Cd
3 1
direct
0.000 0.500 0.500
0.500 0.500 0.000
0.500 0.000 0.500
0.000 0.000 0.000



# 25
HfMn2Mo, relaxed, DFT GGA-PBE; raw total energy = -9.27 eV/atom; polymorph energy (0 for the lowest one) = 588 meV per atom; V = 16.20 Å³ per atom; calculated formation energy = 0.5095 eV per atom
1.0
-6.610 1.941 0.451
-1.751 -4.915 -4.521
-4.555 -3.237 0.012
Mo Mn Hf
2 4 2
direct
0.250 0.750 0.500
0.500 0.500 0.000
0.875 0.846 0.750
0.375 0.404 0.750
0.154 0.625 0.250
0.596 0.125 0.250
0.000 0.000 0.000
0.750 0.250 0.500